# 1
LiSmCdSi | PBE | optimized geometry

```
LiSmCdSi
1.0
-1.233 -4.691 1.036
2.181 -3.733 -2.431
3.219 -2.948 2.355
Sm Si Li Cd
1 1 1 1
Direct
0.000 0.000 0.000
0.750 0.750 0.750
0.500 0.500 0.500
0.250 0.250 0.250
```

Output
Crystal system   cubic
Formation energy without anion corrections   -0.31 eV per atom

***

# 2
ErZnAu | PBE | optimized geometry

```
ErZnAu
1.0
-0.781 -3.241 -0.951
0.841 -1.439 4.214
-4.173 1.342 -1.145
Er Au Zn
1 1 1
Direct
0.667 0.667 0.333
0.167 0.333 0.667
0.167 0.000 0.000
```

Output
Crystal system   hexagonal
Formation energy from the elements   -0.652 eV/atom

***

# 3
Th3Ga2Rh5 | PBE | optimized geometry

```
Th3Ga2Rh5
1.0
-1.418 2.921 1.967
1.870 -4.939 8.682
9.239 4.213 0.407
Th Rh Ga
6 10 4
Direct
0.000 0.327 0.827
0.000 0.827 0.673
0.000 0.173 0.327
0.000 0.000 0.000
0.000 0.673 0.173
0.000 0.500 0.500
0.500 0.715 0.428
0.500 0.500 0.000
0.500 0.928 0.215
0.500 0.572 0.715
0.500 0.428 0.285
0.500 0.215 0.072
0.500 0.000 0.500
0.500 0.072 0.785
0.500 0.285 0.572
0.500 0.785 0.928
0.000 0.121 0.621
0.000 0.879 0.379
0.000 0.621 0.879
0.000 0.379 0.121
```

Output
Crystal system   tetragonal
Formation energy from the elements   -0.802 eV/atom

***

# 4
CaHg2Cl | PBE | optimized geometry

```
CaHg2Cl
1.0
5.745 -0.002 0.000
1.807 5.454 0.000
-3.776 -2.726 3.364
Hg Cl Ca
2 1 1
Direct
0.000 0.000 0.000
0.250 0.750 0.500
0.750 0.250 0.500
0.500 0.500 0.000
```

Output
Crystal system   tetragonal
ΔE to the lowest computed polymorph   142.8 meV/atom
Formation energy without anion corrections   -0.73 eV per atom

***

# 5
Pd2N2F | PBE | optimized geometry

```
Pd2N2F
1.0
-1.011 6.098 -1.379
-5.264 -1.584 -3.145
-1.764 0.337 2.782
N Pd F
4 4 2
Direct
0.067 0.433 0.000
0.933 0.567 0.000
0.567 0.067 0.000
0.433 0.933 0.000
0.198 0.302 0.500
0.802 0.698 0.500
0.302 0.802 0.500
0.698 0.198 0.500
0.500 0.500 0.000
0.000 0.000 0.000
```

Output
Crystal system   tetragonal
ΔE to the lowest computed polymorph   40.8 meV/atom
Formation energy without anion corrections   0.21 eV per atom

***

no.,calculated density (g/cm3),total moment (μB per formula unit)
1,5.73,0.0
2,11.57,0.0
3,11.44,0.0
4,7.51,0.0
5,6.50,0.0